# 1
Compound: La4Ge2F5
Source: the Alexandria database
Functional: PBE-GGA
Structure: relaxed

Cell lengths 14.1854, 14.1854, 4.4113 Å; angles 92.97, 92.97, 15.90 degrees
Fractional positions:
La: 0.0614 0.0614 0.1815
La: 0.1943 0.1943 0.7311
La: 0.8057 0.8057 0.2689
La: 0.9386 0.9386 0.8185
Ge: 0.3557 0.3557 0.7844
Ge: 0.6443 0.6443 0.2156
F: 0.0387 0.0387 0.6723
F: 0.2503 0.2503 0.2500
F: 0.5000 0.5000 0.0000
F: 0.7497 0.7497 0.7500
F: 0.9613 0.9613 0.3277

Calculated values
space group = No. 12
theoretical density = 5.44 g/cm³
uncorrected energy = -6.13 eV/atom



# 2
Compound: Nd2Sm3DyY6
Source: the Alexandria database
Functional: PBE-GGA
Structure: relaxed

Cell lengths 6.2447, 6.2447, 11.8802 Å; angles 95.01, 95.01, 119.97 degrees
Fractional positions:
Nd: 0.1665 0.8335 0.0000
Nd: 0.8335 0.1665 0.0000
Sm: 0.0000 0.0000 0.5000
Sm: 0.3333 0.6667 0.5000
Sm: 0.6667 0.3333 0.5000
Dy: 0.5000 0.5000 0.0000
Y: 0.0838 0.4166 0.7498
Y: 0.2508 0.2508 0.2505
Y: 0.4166 0.0838 0.7498
Y: 0.5834 0.9162 0.2502
Y: 0.7492 0.7492 0.7495
Y: 0.9162 0.5834 0.2502

Calculated values
space group = No. 12
theoretical density = 6.03 g/cm³
uncorrected energy = -5.58 eV/atom
calculated formation energy = 13 meV per atom



# 3
Compound: Ca3In5O12
Source: the Alexandria database
Functional: PBE-GGA
Structure: relaxed

Cell lengths 11.5174, 11.5174, 11.5174 Å; angles 109.47, 109.47, 109.47 degrees
Fractional positions:
Ca: 0.1250 0.2500 0.3750
Ca: 0.1250 0.3750 0.7500
Ca: 0.2500 0.3750 0.1250
Ca: 0.2500 0.8750 0.6250
Ca: 0.3750 0.1250 0.2500
Ca: 0.3750 0.7500 0.1250
Ca: 0.6250 0.2500 0.8750
Ca: 0.6250 0.8750 0.7500
Ca: 0.7500 0.1250 0.3750
Ca: 0.7500 0.6250 0.8750
Ca: 0.8750 0.6250 0.2500
Ca: 0.8750 0.7500 0.6250
In: 0.0000 0.0000 0.0000
In: 0.0000 0.0000 0.5000
In: 0.0000 0.5000 0.0000
In: 0.0000 0.5000 0.5000
In: 0.1250 0.7500 0.8750
In: 0.1250 0.8750 0.2500
In: 0.2500 0.1250 0.8750
In: 0.2500 0.6250 0.3750
In: 0.3750 0.2500 0.6250
In: 0.3750 0.6250 0.7500
In: 0.5000 0.0000 0.0000
In: 0.5000 0.0000 0.5000
In: 0.5000 0.5000 0.0000
In: 0.5000 0.5000 0.5000
In: 0.6250 0.3750 0.2500
In: 0.6250 0.7500 0.3750
In: 0.7500 0.3750 0.6250
In: 0.7500 0.8750 0.1250
In: 0.8750 0.1250 0.7500
In: 0.8750 0.2500 0.1250
O: 0.0381 0.2116 0.1275
O: 0.0381 0.3265 0.9107
O: 0.0842 0.7116 0.6735
O: 0.0842 0.8725 0.4107
O: 0.0893 0.6275 0.4158
O: 0.0893 0.9619 0.6735
O: 0.1275 0.0381 0.2116
O: 0.1275 0.5893 0.9158
O: 0.1735 0.2116 0.5841
O: 0.1735 0.4619 0.5893
O: 0.2116 0.1275 0.0381
O: 0.2116 0.5841 0.1735
O: 0.2884 0.3265 0.9158
O: 0.2884 0.4619 0.3725
O: 0.3265 0.9107 0.0381
O: 0.3265 0.9158 0.2884
O: 0.3725 0.2884 0.4619
O: 0.3725 0.5841 0.9107
O: 0.4107 0.0842 0.8725
O: 0.4107 0.8265 0.5381
O: 0.4158 0.0893 0.6275
O: 0.4158 0.8265 0.7884
O: 0.4619 0.3725 0.2884
O: 0.4619 0.5893 0.1735
O: 0.5381 0.4107 0.8265
O: 0.5381 0.6275 0.7116
O: 0.5841 0.1735 0.2116
O: 0.5841 0.9107 0.3725
O: 0.5893 0.1735 0.4619
O: 0.5893 0.9158 0.1275
O: 0.6275 0.4158 0.0893
O: 0.6275 0.7116 0.5381
O: 0.6735 0.0842 0.7116
O: 0.6735 0.0893 0.9619
O: 0.7116 0.5381 0.6275
O: 0.7116 0.6735 0.0842
O: 0.7884 0.4158 0.8265
O: 0.7884 0.8725 0.9619
O: 0.8265 0.5381 0.4107
O: 0.8265 0.7884 0.4158
O: 0.8725 0.4107 0.0842
O: 0.8725 0.9619 0.7884
O: 0.9107 0.0381 0.3265
O: 0.9107 0.3725 0.5841
O: 0.9158 0.1275 0.5893
O: 0.9158 0.2884 0.3265
O: 0.9619 0.6735 0.0893
O: 0.9619 0.7884 0.8725

Calculated values
space group = No. 230
theoretical density = 5.01 g/cm³
uncorrected energy = -5.64 eV/atom



# 4
Compound: ZrClF2
Source: the Alexandria database
Functional: PBE-GGA
Structure: relaxed

Cell lengths 7.7400, 7.7400, 7.7400 Å; angles 146.34, 146.34, 48.34 degrees
Fractional positions:
Zr: 0.0000 0.0000 0.0000
Zr: 0.7500 0.2500 0.5000
Cl: 0.2500 0.7500 0.5000
Cl: 0.5000 0.5000 0.0000
F: 0.3750 0.1855 0.3105
F: 0.8145 0.1250 0.1895
F: 0.8750 0.0645 0.6895
F: 0.9355 0.6250 0.8105

Calculated values
space group = No. 122
ΔE to the lowest computed polymorph = 0.0000 eV per atom
theoretical density = 3.86 g/cm³
uncorrected energy = -5.87 eV/atom



# 5
Compound: SrCa2Be
Source: the Alexandria database
Functional: PBE-GGA
Structure: relaxed

Cell lengths 6.4657, 6.4657, 6.8492 Å; angles 118.18, 118.18, 35.96 degrees
Fractional positions:
Sr: 0.0000 0.0000 0.0000
Ca: 0.1788 0.1788 0.6756
Ca: 0.3641 0.3641 0.3599
Be: 0.7109 0.7109 0.0113

Calculated values
space group = No. 8
theoretical density = 2.01 g/cm³
uncorrected energy = -2.06 eV/atom
calculated formation energy = 296 meV per atom



# 6
Compound: K2VAuSe
Source: the Alexandria database
Functional: PBE-GGA
Structure: relaxed

Cell lengths 6.4646, 6.4646, 4.8940 Å; angles 90.00, 90.00, 90.00 degrees
Fractional positions:
K: 0.0000 0.5000 0.0000
K: 0.5000 0.0000 0.0000
V: 0.0000 0.0000 0.5000
Au: 0.5000 0.5000 0.0000
Se: 0.5000 0.5000 0.5000

Calculated values
space group = No. 123
ΔE to the lowest computed polymorph = 0.6026 eV per atom
theoretical density = 3.29 g/cm³
uncorrected energy = -3.11 eV/atom



# 7
Compound: YGeAs2Se
Source: the Alexandria database
Functional: PBE-GGA
Structure: relaxed

Cell lengths 4.9057, 4.9057, 5.0464 Å; angles 90.00, 90.00, 90.00 degrees
Fractional positions:
Y: 0.0000 0.0000 0.0000
Ge: 0.5000 0.5000 0.5000
As: 0.0000 0.5000 0.5000
As: 0.5000 0.0000 0.5000
Se: 0.5000 0.5000 0.0000

Calculated values
space group = No. 123
ΔE to the lowest computed polymorph = 0.0000 eV per atom
theoretical density = 5.34 g/cm³
uncorrected energy = -4.82 eV/atom



# 8
Compound: VZn2Re
Source: the Alexandria database
Functional: PBE-GGA
Structure: relaxed

Cell lengths 9.8236, 9.8236, 9.8236 Å; angles 15.80, 15.80, 15.80 degrees
Fractional positions:
V: 0.0000 0.0000 0.0000
Zn: 0.0887 0.0887 0.0887
Zn: 0.9113 0.9113 0.9113
Re: 0.5000 0.5000 0.5000

Calculated values
space group = No. 166
ΔE to the lowest computed polymorph = 0.1087 eV per atom
theoretical density = 9.97 g/cm³
uncorrected energy = -5.58 eV/atom
calculated formation energy = 451 meV per atom



What is the uncorrected energy in the second record?
-5.58 eV/atom